# 1
The following is a PBE calculation of a relaxed DyYSi crystal, from Alexandria via LeMat-Bulk.

Output
total moment	0.00	μB/cell
electronic total energy	-0.220	Ha/atom
formation energy from raw total energies	-485	meV/atom
crystal system	cubic

abc: 6.856 6.856 6.856
angles: 90.00 90.00 90.00
Space group F-43m (No. 216)
Symmetry-distinct sites (fractional):
Dy 0.000 0.000 0.000 x4
Y 0.000 0.000 0.500 x4
Si 0.250 0.250 0.750 x4

=====

# 2
The following is a PBE calculation of a relaxed CsGaF3 crystal, from Alexandria via LeMat-Bulk.

Output
total moment	0.00	μB/cell
electronic total energy	-0.161	Ha/atom
formation energy from raw total energies	-2484	meV/atom
crystal system	monoclinic

abc: 11.309 10.492 4.296
angles: 90.00 95.36 90.00
Space group C2 (No. 5)
Symmetry-distinct sites (fractional):
Cs 0.209 0.000 0.244 x4
Ga 0.000 0.308 0.000 x2
Ga 0.000 0.717 0.500 x2
F 0.092 0.203 0.789 x4
F 0.104 0.409 0.227 x4
F 0.104 0.847 0.712 x4

=====

# 3
The following is a PBE calculation of a relaxed Si2OsPb crystal, from Alexandria via LeMat-Bulk.

Output
total moment	0.00	μB/cell
electronic total energy	-0.215	Ha/atom
formation energy from raw total energies	599	meV/atom
crystal system	orthorhombic

abc: 2.999 5.782 9.279
angles: 90.00 90.00 90.00
Space group Immm (No. 71)
Symmetry-distinct sites (fractional):
Si 0.000 0.000 0.203 x4
Os 0.000 0.500 0.500 x2
Pb 0.000 0.500 0.000 x2

=====

# 4
The following is a PBE calculation of a relaxed Se3NCl crystal, from Alexandria via LeMat-Bulk.

Output
total moment	2.34	μB/cell
electronic total energy	-0.080	Ha/atom
formation energy from raw total energies	1936	meV/atom
crystal system	cubic

abc: 5.068 5.068 5.068
angles: 90.00 90.00 90.00
Space group Pm-3m (No. 221)
Symmetry-distinct sites (fractional):
Se 0.000 0.000 0.500 x3
N 0.500 0.500 0.500 x1
Cl 0.000 0.000 0.000 x1